*a*
This record from Alexandria via LeMat-Bulk describes crystalline Zn8Au3 at its relaxed geometry. The functional is PBE-GGA.

**Density**: 8.851 g cm⁻³
**N(E_F)**: 17.3 states/eV/cell

a b c (Å): 8.4622 8.4622 10.1117
angles (deg): 90.00 90.00 120.00
Space group R-3m (No. 166, hexagonal axes)
One atom of each set of equivalent atoms:
Zn: 0.0000 0.0000 0.2276 (multiplicity 6)
Zn: 0.0280 0.5140 0.7391 (multiplicity 18)
Au: 0.0000 0.5000 0.0000 (multiplicity 9)

*b*
This record from Alexandria via LeMat-Bulk describes crystalline Zn8Au3 at its relaxed geometry. The functional is PBE-GGA.

**Density**: 10.792 g cm⁻³
**N(E_F)**: 6.7 states/eV/cell

a b c (Å): 8.846 3.900 10.231
angles (deg): 90.00 103.72 90.00
Space group C2/m (No. 12)
One atom of each set of equivalent atoms:
Zn: 0.046 0.000 0.316 (multiplicity 4)
Zn: 0.133 0.000 0.954 (multiplicity 4)
Zn: 0.177 0.500 0.773 (multiplicity 4)
Zn: 0.224 0.000 0.587 (multiplicity 4)
Au: 0.000 0.500 0.500 (multiplicity 2)
Au: 0.102 0.500 0.144 (multiplicity 4)

Which of them is the most stable, and which is the least stable? *b* and *a*, in that order.

*a*
This record from Alexandria via LeMat-Bulk describes crystalline ZrZn4Au at its relaxed geometry. The functional is PBE-GGA.

**Density**: 9.228 g cm⁻³
**N(E_F)**: 2.2 states/eV/cell

a b c (Å): 4.3408 4.3408 6.0633
angles (deg): 90.00 90.00 120.00
Space group P6/mmm (No. 191)
One atom of each set of equivalent atoms:
Zr: 0.0000 0.0000 0.0000 (multiplicity 1)
Zn: 0.3333 0.6667 0.2556 (multiplicity 4)
Au: 0.0000 0.0000 0.5000 (multiplicity 1)

*b*
This record from Alexandria via LeMat-Bulk describes crystalline ZrZn4Au at its relaxed geometry. The functional is PBE-GGA.

**Density**: 9.281 g cm⁻³
**N(E_F)**: 22.8 states/eV/cell

a b c (Å): 7.328 7.328 7.328
angles (deg): 90.00 90.00 90.00
Space group F-43m (No. 216)
One atom of each set of equivalent atoms:
Zr: 0.000 0.000 0.000 (multiplicity 4)
Zn: 0.126 0.126 0.374 (multiplicity 16)
Au: 0.250 0.250 0.750 (multiplicity 4)

Which of them is the most stable, and which is the least stable? *a* and *b*, in that order.

*a*
This record from Alexandria via LeMat-Bulk describes crystalline Zr2Zn3Au at its relaxed geometry. The functional is PBE-GGA.

**Density**: 8.409 g cm⁻³
**N(E_F)**: 8.1 states/eV/cell

a b c (Å): 3.367 4.134 16.331
angles (deg): 90.00 90.00 90.00
Space group Imm2 (No. 44)
One atom of each set of equivalent atoms:
Zr: 0.000 0.000 0.000 (multiplicity 2)
Zr: 0.000 0.500 0.223 (multiplicity 2)
Zn: 0.000 0.000 0.573 (multiplicity 2)
Zn: 0.000 0.500 0.649 (multiplicity 2)
Zn: 0.000 0.500 0.798 (multiplicity 2)
Au: 0.000 0.000 0.414 (multiplicity 2)

*b*
This record from Alexandria via LeMat-Bulk describes crystalline Zr2Zn3Au at its relaxed geometry. The functional is PBE-GGA.

**Density**: 9.009 g cm⁻³
**N(E_F)**: 37.1 states/eV/cell

a b c (Å): 5.992 9.038 15.671
angles (deg): 90.00 90.00 90.00
Space group Fmmm (No. 69)
One atom of each set of equivalent atoms:
Zr: 0.247 0.000 0.000 (multiplicity 8)
Zr: 0.250 0.250 0.250 (multiplicity 8)
Zn: 0.000 0.000 0.336 (multiplicity 8)
Zn: 0.000 0.246 0.418 (multiplicity 16)
Au: 0.000 0.000 0.167 (multiplicity 8)

Which of them is the most stable, and which is the least stable? *b* and *a*, in that order.

*a*
This record from Alexandria via LeMat-Bulk describes crystalline Zr2Zn2Au at its relaxed geometry. The functional is PBE-GGA.

**Density**: 9.172 g cm⁻³
**N(E_F)**: 5.5 states/eV/cell

a b c (Å): 6.779 6.779 4.020
angles (deg): 90.00 90.00 90.00
Space group P4/mbm (No. 127)
One atom of each set of equivalent atoms:
Zr: 0.170 0.330 0.000 (multiplicity 4)
Zn: 0.130 0.630 0.500 (multiplicity 4)
Au: 0.000 0.000 0.500 (multiplicity 2)

*b*
This record from Alexandria via LeMat-Bulk describes crystalline Zr2Zn2Au at its relaxed geometry. The functional is PBE-GGA.

**Density**: 9.116 g cm⁻³
**N(E_F)**: 15.8 states/eV/cell

a b c (Å): 10.116 4.532 8.617
angles (deg): 90.00 109.78 90.00
Space group C2/m (No. 12)
One atom of each set of equivalent atoms:
Zr: 0.037 0.000 0.340 (multiplicity 4)
Zr: 0.170 0.000 0.076 (multiplicity 4)
Zn: 0.031 0.500 0.871 (multiplicity 4)
Zn: 0.131 0.500 0.579 (multiplicity 4)
Au: 0.237 0.500 0.311 (multiplicity 4)

*c*
This record from Alexandria via LeMat-Bulk describes crystalline Zr2Zn2Au at its relaxed geometry. The functional is PBE-GGA.

**Density**: 8.457 g cm⁻³
**N(E_F)**: 8.8 states/eV/cell

a b c (Å): 7.942 7.942 3.177
angles (deg): 90.00 90.00 90.00
Space group P4/mbm (No. 127)
One atom of each set of equivalent atoms:
Zr: 0.180 0.320 0.000 (multiplicity 4)
Zn: 0.115 0.615 0.500 (multiplicity 4)
Au: 0.000 0.000 0.000 (multiplicity 2)

Which of them is the most stable, and which is the least stable? *a* and *c*, in that order.